(1)
Density functional theory data (PBE) for Th2PPt6 after structural relaxation.

a = 5.7245 Å, b = 5.7228 Å, c = 6.1924 Å
α = 77.07°, β = 90.00°, γ = 120.01°
Closest atoms and distances in Å follow each position.
Sites, in units of the cell vectors:
Pt 0.8788 0.2651 0.6912  1 P 2.49
Pt 0.8753 0.7506 0.7066  1 P 2.45
Pt 0.1247 0.2494 0.2934  1 P 2.45
Pt 0.1212 0.7349 0.3088  1 P 2.49
Pt 0.6137 0.7349 0.3088  1 P 2.49
Pt 0.3863 0.2651 0.6912  1 P 2.49
P 0.0000 0.0000 0.0000  6 Pt 2.45-2.49
Th 0.6411 0.2821 0.1551  9 Pt 2.98-3.22
Th 0.3589 0.7179 0.8449  9 Pt 2.98-3.22

## Properties
Its formation energy is -22.63 kcal/mol of atoms. Its total energy is -7.26 eV/atom. Its density of states at the Fermi level is 0.43 states/eV/atom.

(2)
Density functional theory data (PBE) for ThPPt6 after structural relaxation.

a = 5.4991 Å, b = 5.4991 Å, c = 6.8830 Å
α = 66.46°, β = 66.46°, γ = 60.00°
Closest atoms and distances in Å follow each position.
Sites, in units of the cell vectors:
Pt 0.0817 0.0817 0.2672  1 P 2.30
Pt 0.4307 0.9183 0.7328  1 P 2.30
Pt 0.9183 0.9183 0.7328  1 P 2.30
Pt 0.9183 0.4307 0.7328  1 P 2.30
Pt 0.0817 0.5693 0.2672  1 P 2.30
Pt 0.5693 0.0817 0.2672  1 P 2.30
Th 0.5000 0.5000 0.5000  12 Pt 3.10
P 0.0000 0.0000 0.0000  6 Pt 2.30

## Properties
Its formation energy is -14.83 kcal/mol of atoms. Its total energy is -6.78 eV/atom. Its density of states at the Fermi level is 0.42 states/eV/atom.

(3)
Density functional theory data (PBE) for ThP2Pt8 after structural relaxation.

a = 5.4890 Å, b = 5.4890 Å, c = 8.3080 Å
α = 109.29°, β = 109.29°, γ = 90.00°
Closest atoms and distances in Å follow each position.
Sites, in units of the cell vectors:
Pt 0.6053 0.0966 0.7019  2 P 2.44, 2 Pt 2.70
Pt 0.0966 0.0966 0.7019  2 P 2.44, 2 Pt 2.70
Pt 0.9034 0.3947 0.2981  2 P 2.44, 2 Pt 2.70
Pt 0.3947 0.3947 0.2981  2 P 2.44, 2 Pt 2.70
Pt 0.3947 0.9034 0.2981  2 P 2.44, 2 Pt 2.70
Pt 0.6053 0.6053 0.7019  2 P 2.44, 2 Pt 2.70
Pt 0.9034 0.9034 0.2981  2 P 2.44, 2 Pt 2.70
Pt 0.0966 0.6053 0.7019  2 P 2.44, 2 Pt 2.70
Th 0.5000 0.5000 0.0000  8 Pt 2.95
P 0.7500 0.2500 0.5000  8 Pt 2.44
P 0.2500 0.7500 0.5000  8 Pt 2.44

## Properties
Its formation energy is -8.71 kcal/mol of atoms. Its total energy is -6.43 eV/atom. Its density of states at the Fermi level is 0.38 states/eV/atom.

(4)
Density functional theory data (PBE) for ThTl2P2Pt7 after structural relaxation.

a = 4.0793 Å, b = 4.0793 Å, c = 14.9674 Å
α = 77.98°, β = 77.98°, γ = 89.78°
Closest atoms and distances in Å follow each position.
Sites, in units of the cell vectors:
P 0.6895 0.6895 0.7505  5 Pt 2.27-2.41
P 0.3105 0.3105 0.2495  5 Pt 2.27-2.41
Pt 0.1632 0.1632 0.4081  1 P 2.27
Pt 0.3785 0.8792 0.1596  2 P 2.41
Pt 0.6215 0.1208 0.8404  2 P 2.41
Pt 0.5000 0.5000 0.0000  4 Th 2.88-2.89, 8 Pt 3.06
Pt 0.8792 0.3785 0.1596  2 P 2.41
Pt 0.8368 0.8368 0.5919  1 P 2.27
Pt 0.1208 0.6215 0.8404  2 P 2.41
Tl 0.3155 0.3155 0.5995  4 Pt 2.80-2.98, 1 Tl 3.11
Tl 0.6845 0.6845 0.4005  4 Pt 2.80-2.98, 1 Tl 3.11
Th 0.0000 0.0000 0.0000  12 Pt 2.88-3.06

## Properties
Its formation energy is -12.74 kcal/mol of atoms. Its total energy is -5.99 eV/atom. Its density of states at the Fermi level is 0.47 states/eV/atom.

(5)
Density functional theory data (PBE) for Th2ZnPPt6 after structural relaxation.

a = 5.5287 Å, b = 8.4599 Å, c = 8.5077 Å
α = 90.00°, β = 90.00°, γ = 90.00°
Closest atoms and distances in Å follow each position.
Sites, in units of the cell vectors:
Zn 0.5000 0.2843 0.0000  6 Pt 2.51-2.62
Zn 0.0000 0.7157 0.5000  6 Pt 2.51-2.62
P 0.0000 0.7544 0.0000  4 Pt 2.34
P 0.5000 0.2456 0.5000  4 Pt 2.34
Th 0.0000 0.2681 0.2401  9 Pt 3.06-3.32
Th 0.5000 0.7319 0.7401  9 Pt 3.06-3.32
Th 0.5000 0.7319 0.2599  9 Pt 3.06-3.32
Th 0.0000 0.2681 0.7599  9 Pt 3.06-3.32
Pt 0.2495 0.4685 0.5000  1 P 2.34, 1 Zn 2.51
Pt 0.7522 0.0268 0.0000  1 Zn 2.59, 1 P 2.68, 6 Pt 2.71-2.79
Pt 0.2522 0.9732 0.5000  1 Zn 2.59, 1 P 2.68, 6 Pt 2.71-2.79
Pt 0.7478 0.9732 0.5000  1 Zn 2.59, 1 P 2.68, 6 Pt 2.71-2.79
Pt 0.0000 0.8851 0.7580  1 P 2.34
Pt 0.2478 0.0268 0.0000  1 Zn 2.59, 1 P 2.68, 6 Pt 2.71-2.79
Pt 0.7505 0.4685 0.5000  1 P 2.34, 1 Zn 2.51
Pt 0.5000 0.1149 0.2580  1 P 2.34
Pt 0.7495 0.5315 0.0000  1 P 2.34, 1 Zn 2.51
Pt 0.0000 0.8851 0.2420  1 P 2.34
Pt 0.2505 0.5315 0.0000  1 P 2.34, 1 Zn 2.51
Pt 0.5000 0.1149 0.7420  1 P 2.34

## Properties
Its formation energy is -20.71 kcal/mol of atoms. Its total energy is -6.67 eV/atom. Its density of states at the Fermi level is 0.63 states/eV/atom.

(6)
Density functional theory data (PBE) for TiP3Pt after structural relaxation.

a = 4.6051 Å, b = 4.6051 Å, c = 4.6051 Å
α = 90.00°, β = 90.00°, γ = 90.00°
Closest atoms and distances in Å follow each position.
Sites, in units of the cell vectors:
Ti 0.0000 0.0000 0.0000  6 P 2.30
P 0.0000 0.0000 0.5000  2 Ti 2.30
P 0.5000 0.0000 0.0000  2 Ti 2.30
P 0.0000 0.5000 0.0000  2 Ti 2.30
Pt 0.5000 0.5000 0.5000  12 P 3.26

## Properties
As for the energy above the most stable polymorph in this dataset: 0 meV per atom. Its formation energy is 13.71 kcal/mol of atoms. Its total energy is -5.44 eV/atom. Its density of states at the Fermi level is 0.96 states/eV/atom.

(7)
Density functional theory data (PBE) for Ti4PPt after structural relaxation.

a = 6.1126 Å, b = 5.8807 Å, c = 6.0214 Å
α = 90.00°, β = 92.44°, γ = 90.00°
Closest atoms and distances in Å follow each position.
Sites, in units of the cell vectors:
Pt 0.0000 0.0000 0.0000  6 Ti 2.47-2.60
Pt 0.5000 0.5000 0.0000  6 Ti 2.47-2.60
P 0.5000 0.0000 0.5000  6 Ti 2.33-2.43
P 0.0000 0.5000 0.5000  6 Ti 2.33-2.43
Ti 0.3263 0.3458 0.3572  2 P 2.38-2.43, 1 Pt 2.60
Ti 0.1737 0.8458 0.6428  2 P 2.38-2.43, 1 Pt 2.60
Ti 0.8574 0.6472 0.1641  1 P 2.33, 2 Pt 2.47-2.51
Ti 0.6737 0.6542 0.6428  2 P 2.38-2.43, 1 Pt 2.60
Ti 0.8263 0.1542 0.3572  2 P 2.38-2.43, 1 Pt 2.60
Ti 0.6426 0.1472 0.8359  1 P 2.33, 2 Pt 2.47-2.51
Ti 0.1426 0.3528 0.8359  1 P 2.33, 2 Pt 2.47-2.51
Ti 0.3574 0.8528 0.1641  1 P 2.33, 2 Pt 2.47-2.51

## Properties
Its formation energy is -10.29 kcal/mol of atoms. Its total energy is -7.62 eV/atom. Its density of states at the Fermi level is 1.11 states/eV/atom.

(8)
Density functional theory data (PBE) for Ti2PPt2 after structural relaxation.

a = 7.6131 Å, b = 7.6131 Å, c = 2.8357 Å
α = 90.00°, β = 90.00°, γ = 90.00°
Closest atoms and distances in Å follow each position.
Sites, in units of the cell vectors:
Ti 0.8354 0.3354 0.5000  6 Pt 2.61-2.68, 2 Ti 2.84
Ti 0.3354 0.1646 0.5000  6 Pt 2.61-2.68, 2 Ti 2.84
Ti 0.1646 0.6646 0.5000  6 Pt 2.61-2.68, 2 Ti 2.84
Ti 0.6646 0.8354 0.5000  6 Pt 2.61-2.68, 2 Ti 2.84
P 0.5000 0.5000 0.0000  2 P 2.84, 4 Pt 2.98
P 0.0000 0.0000 0.0000  2 P 2.84, 4 Pt 2.98
Pt 0.8682 0.6318 0.0000  6 Ti 2.61-2.68, 3 Pt 2.84
Pt 0.3682 0.8682 0.0000  6 Ti 2.61-2.68, 3 Pt 2.84
Pt 0.1318 0.3682 0.0000  6 Ti 2.61-2.68, 3 Pt 2.84
Pt 0.6318 0.1318 0.0000  6 Ti 2.61-2.68, 3 Pt 2.84

## Properties
Its formation energy is -13.35 kcal/mol of atoms. Its total energy is -7.24 eV/atom. Its density of states at the Fermi level is 0.92 states/eV/atom.

(9)
Density functional theory data (PBE) for TiP3Pt after structural relaxation.

a = 4.6540 Å, b = 4.6540 Å, c = 4.6540 Å
α = 90.00°, β = 90.00°, γ = 90.00°
Closest atoms and distances in Å follow each position.
Sites, in units of the cell vectors:
Ti 0.5000 0.5000 0.5000  12 P 3.29
P 0.5000 0.0000 0.0000  2 Pt 2.33
P 0.0000 0.0000 0.5000  2 Pt 2.33
P 0.0000 0.5000 0.0000  2 Pt 2.33
Pt 0.0000 0.0000 0.0000  6 P 2.33

## Properties
As for the energy above the most stable polymorph in this dataset: 119 meV per atom. Its formation energy is 16.45 kcal/mol of atoms. Its total energy is -5.32 eV/atom. Its density of states at the Fermi level is 0.96 states/eV/atom.

(10)
Density functional theory data (PBE) for TlP2Pt after structural relaxation.

a = 4.8965 Å, b = 4.8965 Å, c = 4.8965 Å
α = 127.06°, β = 127.06°, γ = 78.15°
Closest atoms and distances in Å follow each position.
Sites, in units of the cell vectors:
P 0.2500 0.7500 0.5000  4 P 2.89, 4 Pt 2.89, 4 Tl 3.09
P 0.0000 0.0000 0.0000  4 Tl 2.89, 4 P 2.89, 4 Pt 3.09
Tl 0.7500 0.2500 0.5000  4 Pt 2.89, 8 P 2.89-3.09
Pt 0.5000 0.5000 0.0000  8 P 2.89-3.09, 4 Tl 2.89

## Properties
As for the energy above the most stable polymorph in this dataset: 860 meV per atom. Its formation energy is 13.53 kcal/mol of atoms. Its total energy is -4.22 eV/atom. Its density of states at the Fermi level is 0.39 states/eV/atom.